[1]
Material: Mg2CO4
Method: DFT, PBE-GGA
State: relaxed

Calculated values
As for the density of states at the Fermi level: 0.0000 states/eV/atom. For the energy relative to the elements, uncorrected, the calculation gives -1.95 eV per atom. Its crystal system is monoclinic.

Unit cell a=4.706 b=5.047 c=5.645 alpha=90.00 beta=105.71 gamma=90.00
Atoms (fractional coordinates):
Mg 0.191 0.250 0.038
Mg 0.278 0.250 0.571
Mg 0.722 0.750 0.429
Mg 0.809 0.750 0.962
C 0.258 0.750 0.808
C 0.742 0.250 0.192
O 0.062 0.528 0.752
O 0.062 0.972 0.752
O 0.406 0.750 0.055
O 0.453 0.750 0.657
O 0.547 0.250 0.343
O 0.594 0.250 0.945
O 0.938 0.028 0.248
O 0.938 0.472 0.248



[2]
Material: PdSe2I
Method: DFT, PBE-GGA
State: relaxed

Calculated values
As for the density of states at the Fermi level: 0.5270 states/eV/atom. For the energy relative to the elements, uncorrected, the calculation gives -0.18 eV per atom. As for the excess energy over the best structure of this formula in the dataset: 8.0 meV/atom. Its crystal system is hexagonal.

Unit cell a=3.967 b=3.967 c=16.065 alpha=90.00 beta=90.00 gamma=120.00
Atoms (fractional coordinates):
Pd 0.000 0.000 0.000
Pd 0.000 0.000 0.500
Se 0.333 0.667 0.075
Se 0.333 0.667 0.425
Se 0.667 0.333 0.575
Se 0.667 0.333 0.925
I 0.333 0.667 0.250
I 0.667 0.333 0.750



[3]
Material: TmSc2Fe
Method: DFT, PBE-GGA
State: relaxed

Calculated values
As for the density of states at the Fermi level: 1.1510 states/eV/atom. Its formation enthalpy at 0 K is -0.07 eV per atom. As for the excess energy over the best structure of this formula in the dataset: 0.0 meV/atom. Its crystal system is orthorhombic.

Unit cell a=6.800 b=8.540 c=5.899 alpha=90.00 beta=90.00 gamma=90.00
Atoms (fractional coordinates):
Tm 0.043 0.250 0.127
Tm 0.457 0.750 0.627
Tm 0.543 0.250 0.373
Tm 0.957 0.750 0.873
Sc 0.173 0.065 0.664
Sc 0.173 0.435 0.664
Sc 0.327 0.565 0.164
Sc 0.327 0.935 0.164
Sc 0.673 0.065 0.836
Sc 0.673 0.435 0.836
Sc 0.827 0.565 0.336
Sc 0.827 0.935 0.336
Fe 0.110 0.750 0.446
Fe 0.390 0.250 0.946
Fe 0.610 0.750 0.054
Fe 0.890 0.250 0.554



[4]
Material: GaReRu
Method: DFT, PBE-GGA
State: relaxed

Calculated values
As for the density of states at the Fermi level: 0.5986 states/eV/atom. Its formation enthalpy at 0 K is 0.01 eV per atom. Its crystal system is tetragonal.

Unit cell a=3.715 b=3.715 c=6.627 alpha=90.00 beta=90.00 gamma=90.00
Atoms (fractional coordinates):
Ga 0.250 0.250 0.186
Ga 0.750 0.750 0.814
Re 0.250 0.750 0.500
Re 0.750 0.250 0.500
Ru 0.250 0.250 0.806
Ru 0.750 0.750 0.194



[5]
Material: Ce2InBi2
Method: DFT, PBE-GGA
State: relaxed

Calculated values
As for the density of states at the Fermi level: 2.6505 states/eV/atom. Its formation enthalpy at 0 K is -0.51 eV per atom. Its crystal system is tetragonal.

Unit cell a=8.649 b=8.649 c=8.524 alpha=90.00 beta=90.00 gamma=90.00
Atoms (fractional coordinates):
Ce 0.151 0.349 0.000
Ce 0.151 0.349 0.500
Ce 0.349 0.849 0.000
Ce 0.349 0.849 0.500
Ce 0.651 0.151 0.000
Ce 0.651 0.151 0.500
Ce 0.849 0.651 0.000
Ce 0.849 0.651 0.500
In 0.000 0.000 0.250
In 0.000 0.000 0.750
In 0.500 0.500 0.250
In 0.500 0.500 0.750
Bi 0.151 0.651 0.250
Bi 0.151 0.651 0.750
Bi 0.349 0.151 0.250
Bi 0.349 0.151 0.750
Bi 0.651 0.849 0.250
Bi 0.651 0.849 0.750
Bi 0.849 0.349 0.250
Bi 0.849 0.349 0.750



[6]
Material: KRh2W
Method: DFT, PBE-GGA
State: relaxed

Calculated values
As for the density of states at the Fermi level: 1.2057 states/eV/atom. Its formation enthalpy at 0 K is 0.70 eV per atom. As for the excess energy over the best structure of this formula in the dataset: 462.9 meV/atom. Its crystal system is orthorhombic.

Unit cell a=2.753 b=2.753 c=10.429 alpha=90.00 beta=90.00 gamma=115.48
Atoms (fractional coordinates):
K 0.000 0.000 0.000
Rh 0.000 0.000 0.516
Rh 0.500 0.500 0.739
W 0.500 0.500 0.308